*A*
# PBE-GGA BaCaBiCl, relaxed
data_BaCaBiCl
_chemical_formula_sum 'Ba2 Ca2 Bi2 Cl2'
_cell_length_a 5.182
_cell_length_b 5.182
_cell_length_c 11.027
_cell_angle_alpha 90.00
_cell_angle_beta 90.00
_cell_angle_gamma 90.00
_symmetry_space_group_name_H-M 'P 4/n m m'
_symmetry_Int_Tables_number 129
loop_
_symmetry_equiv_pos_as_xyz
'x,y,z'
'-x,-y,-z'
'-y+1/2,x,z'
'y+1/2,-x,-z'
'-x+1/2,-y+1/2,z'
'x+1/2,y+1/2,-z'
'y,-x+1/2,z'
'-y,x+1/2,-z'
'x+1/2,-y,-z'
'-x+1/2,y,z'
'-y,-x,-z'
'y,x,z'
'-x,y+1/2,-z'
'x,-y+1/2,z'
'y+1/2,x+1/2,-z'
'-y+1/2,-x+1/2,z'
loop_
_atom_site_label
_atom_site_type_symbol
_atom_site_fract_x
_atom_site_fract_y
_atom_site_fract_z
_atom_site_occupancy
Ba1 Ba 0.250 0.250 0.163 1
Ca1 Ca 0.250 0.750 0.500 1
Bi1 Bi 0.250 0.250 0.675 1
Cl1 Cl 0.250 0.750 0.000 1
# Crystal system ... tetragonal
# Density ... 4.73 g/cm3
# Total magnetic moment ... 0.00 μB/cell

=====

*B*
# PBE-GGA BaCaBiCl, relaxed
data_BaCaBiCl
_chemical_formula_sum 'Ba4 Ca4 Bi4 Cl4'
_cell_length_a 8.103
_cell_length_b 8.103
_cell_length_c 8.103
_cell_angle_alpha 90.00
_cell_angle_beta 90.00
_cell_angle_gamma 90.00
_symmetry_space_group_name_H-M 'F -4 3 m'
_symmetry_Int_Tables_number 216
_symmetry_space_group_name_Hall 'F -4 2 3'
loop_
_atom_site_label
_atom_site_type_symbol
_atom_site_fract_x
_atom_site_fract_y
_atom_site_fract_z
_atom_site_occupancy
Ba1 Ba 0.000 0.000 0.000 1
Ca1 Ca 0.000 0.000 0.500 1
Bi1 Bi 0.250 0.250 0.750 1
Cl1 Cl 0.250 0.250 0.250 1
# Crystal system ... cubic
# Density ... 5.27 g/cm3
# Total magnetic moment ... 0.00 μB/cell

=====

Which one is most stable, and which one is least stable? *A* is the most stable of them, while *B* is the least stable.

=====

*A*
# PBE-GGA BaCaEuBiO6, relaxed
data_BaCaEuBiO6
_chemical_formula_sum 'Ba4 Ca4 Eu4 Bi4 O24'
_cell_length_a 8.651
_cell_length_b 8.651
_cell_length_c 8.651
_cell_angle_alpha 90.00
_cell_angle_beta 90.00
_cell_angle_gamma 90.00
_symmetry_space_group_name_H-M 'F -4 3 m'
_symmetry_Int_Tables_number 216
_symmetry_space_group_name_Hall 'F -4 2 3'
loop_
_atom_site_label
_atom_site_type_symbol
_atom_site_fract_x
_atom_site_fract_y
_atom_site_fract_z
_atom_site_occupancy
Ba1 Ba 0.000 0.000 0.000 1
Ca1 Ca 0.250 0.250 0.250 1
Eu1 Eu 0.000 0.000 0.500 1
Bi1 Bi 0.250 0.250 0.750 1
O1 O 0.008 0.250 0.750 1
# DOS at the Fermi energy ... 12.0 states/eV/f.u.
# Crystal system ... cubic
# Density ... 6.51 g/cm3
# Total magnetic moment ... 23.79 μB/cell

=====

*B*
# PBE-GGA BaCaEuBiO6, relaxed
data_BaCaEuBiO6
_chemical_formula_sum 'Ba4 Ca4 Eu4 Bi4 O24'
_cell_length_a 8.707
_cell_length_b 8.707
_cell_length_c 8.707
_cell_angle_alpha 90.00
_cell_angle_beta 90.00
_cell_angle_gamma 90.00
_symmetry_space_group_name_H-M 'F -4 3 m'
_symmetry_Int_Tables_number 216
_symmetry_space_group_name_Hall 'F -4 2 3'
loop_
_atom_site_label
_atom_site_type_symbol
_atom_site_fract_x
_atom_site_fract_y
_atom_site_fract_z
_atom_site_occupancy
Ba1 Ba 0.000 0.000 0.000 1
Ca1 Ca 0.000 0.000 0.500 1
Eu1 Eu 0.250 0.250 0.750 1
Bi1 Bi 0.250 0.250 0.250 1
O1 O 0.007 0.250 0.250 1
# DOS at the Fermi energy ... 4.9 states/eV/f.u.
# Crystal system ... cubic
# Density ... 6.38 g/cm3
# Total magnetic moment ... 24.00 μB/cell

=====

*C*
# PBE-GGA BaCaEuBiO6, relaxed
data_BaCaEuBiO6
_chemical_formula_sum 'Ba2 Ca2 Eu2 Bi2 O12'
_cell_length_a 6.043
_cell_length_b 6.103
_cell_length_c 8.674
_cell_angle_alpha 90.01
_cell_angle_beta 90.15
_cell_angle_gamma 90.30
_symmetry_space_group_name_H-M 'P -1'
_symmetry_Int_Tables_number 2
loop_
_symmetry_equiv_pos_as_xyz
'x,y,z'
'-x,-y,-z'
loop_
_atom_site_label
_atom_site_type_symbol
_atom_site_fract_x
_atom_site_fract_y
_atom_site_fract_z
_atom_site_occupancy
Ba1 Ba 0.008 0.033 0.250 1
Ca1 Ca 0.498 0.468 0.748 1
Eu1 Eu 0.000 0.500 0.500 1
Eu2 Eu 0.500 0.000 0.000 1
Bi1 Bi 0.000 0.500 0.000 1
Bi2 Bi 0.500 0.000 0.500 1
O1 O 0.107 0.495 0.761 1
O2 O 0.190 0.792 0.027 1
O3 O 0.207 0.808 0.479 1
O4 O 0.293 0.316 0.065 1
O5 O 0.320 0.296 0.439 1
O6 O 0.440 0.075 0.740 1
# DOS at the Fermi energy ... 7.7 states/eV/f.u.
# Crystal system ... triclinic
# Density ... 6.59 g/cm3
# Total magnetic moment ... 12.00 μB/cell

=====

Which one is most stable, and which one is least stable? *C* is the most stable of them, while *A* is the least stable.

=====

*A*
# PBE-GGA BaCaGdBiO6, relaxed
data_BaCaGdBiO6
_chemical_formula_sum 'Ba2 Ca2 Gd2 Bi2 O12'
_cell_length_a 6.021
_cell_length_b 6.069
_cell_length_c 8.640
_cell_angle_alpha 90.03
_cell_angle_beta 90.06
_cell_angle_gamma 90.21
_symmetry_space_group_name_H-M 'P -1'
_symmetry_Int_Tables_number 2
loop_
_symmetry_equiv_pos_as_xyz
'x,y,z'
'-x,-y,-z'
loop_
_atom_site_label
_atom_site_type_symbol
_atom_site_fract_x
_atom_site_fract_y
_atom_site_fract_z
_atom_site_occupancy
Ba1 Ba 0.008 0.029 0.250 1
Ca1 Ca 0.496 0.470 0.749 1
Gd1 Gd 0.000 0.500 0.500 1
Gd2 Gd 0.500 0.000 0.000 1
Bi1 Bi 0.000 0.500 0.000 1
Bi2 Bi 0.500 0.000 0.500 1
O1 O 0.101 0.491 0.759 1
O2 O 0.193 0.792 0.023 1
O3 O 0.207 0.805 0.481 1
O4 O 0.295 0.314 0.062 1
O5 O 0.317 0.297 0.440 1
O6 O 0.443 0.073 0.742 1
# Crystal system ... triclinic
# Density ... 6.73 g/cm3
# Total magnetic moment ... 13.93 μB/cell

=====

*B*
# PBE-GGA BaCaGdBiO6, relaxed
data_BaCaGdBiO6
_chemical_formula_sum 'Ba4 Ca4 Gd4 Bi4 O24'
_cell_length_a 8.683
_cell_length_b 8.683
_cell_length_c 8.683
_cell_angle_alpha 90.00
_cell_angle_beta 90.00
_cell_angle_gamma 90.00
_symmetry_space_group_name_H-M 'F -4 3 m'
_symmetry_Int_Tables_number 216
_symmetry_space_group_name_Hall 'F -4 2 3'
loop_
_atom_site_label
_atom_site_type_symbol
_atom_site_fract_x
_atom_site_fract_y
_atom_site_fract_z
_atom_site_occupancy
Ba1 Ba 0.000 0.000 0.000 1
Ca1 Ca 0.000 0.000 0.500 1
Gd1 Gd 0.250 0.250 0.250 1
Bi1 Bi 0.250 0.250 0.750 1
O1 O 0.007 0.250 0.750 1
# DOS at the Fermi energy ... 0.0 states/eV/f.u.
# Crystal system ... cubic
# Density ... 6.49 g/cm3
# Total magnetic moment ... 27.97 μB/cell

=====

Which one is most stable, and which one is least stable? *A* is the most stable of them, while *B* is the least stable.

=====

*A*
# PBE-GGA BaCdBi3, relaxed
data_BaCdBi3
_chemical_formula_sum 'Ba2 Cd2 Bi6'
_cell_length_a 7.091
_cell_length_b 7.137
_cell_length_c 7.097
_cell_angle_alpha 90.00
_cell_angle_beta 90.00
_cell_angle_gamma 90.00
_symmetry_space_group_name_H-M 'P m n 21'
_symmetry_Int_Tables_number 31
loop_
_symmetry_equiv_pos_as_xyz
'x,y,z'
'-x+1/2,-y,z+1/2'
'-x,y,z'
'x+1/2,-y,z+1/2'
loop_
_atom_site_label
_atom_site_type_symbol
_atom_site_fract_x
_atom_site_fract_y
_atom_site_fract_z
_atom_site_occupancy
Ba1 Ba 0.000 0.221 0.000 1
Cd1 Cd 0.000 0.626 0.682 1
Bi1 Bi 0.000 0.914 0.382 1
Bi2 Bi 0.249 0.289 0.535 1
# DOS at the Fermi energy ... 2.0 states/eV/f.u.
# Crystal system ... orthorhombic
# Density ... 8.11 g/cm3
# Total magnetic moment ... 0.00 μB/cell

=====

*B*
# PBE-GGA BaCdBi3, relaxed
data_BaCdBi3
_chemical_formula_sum 'Ba1 Cd1 Bi3'
_cell_length_a 5.771
_cell_length_b 5.771
_cell_length_c 5.771
_cell_angle_alpha 90.00
_cell_angle_beta 90.00
_cell_angle_gamma 90.00
_symmetry_space_group_name_H-M 'P m -3 m'
_symmetry_Int_Tables_number 221
_symmetry_space_group_name_Hall '-P 4 2 3'
loop_
_atom_site_label
_atom_site_type_symbol
_atom_site_fract_x
_atom_site_fract_y
_atom_site_fract_z
_atom_site_occupancy
Ba1 Ba 0.000 0.000 0.000 1
Cd1 Cd 0.500 0.500 0.500 1
Bi1 Bi 0.000 0.500 0.500 1
# DOS at the Fermi energy ... 3.5 states/eV/f.u.
# Crystal system ... cubic
# Density ... 7.57 g/cm3
# Total magnetic moment ... 0.00 μB/cell

=====

Which one is most stable, and which one is least stable? *A* is the most stable of them, while *B* is the least stable.

=====

*A*
# PBE-GGA Ba2CdBi, relaxed
data_Ba2CdBi
_chemical_formula_sum 'Ba8 Cd4 Bi4'
_cell_length_a 9.390
_cell_length_b 9.390
_cell_length_c 8.423
_cell_angle_alpha 90.00
_cell_angle_beta 90.00
_cell_angle_gamma 90.00
_symmetry_space_group_name_H-M 'I -4 2 d'
_symmetry_Int_Tables_number 122
_symmetry_space_group_name_Hall 'I -4 2bw'
loop_
_atom_site_label
_atom_site_type_symbol
_atom_site_fract_x
_atom_site_fract_y
_atom_site_fract_z
_atom_site_occupancy
Ba1 Ba 0.241 0.250 0.125 1
Cd1 Cd 0.000 0.000 0.500 1
Bi1 Bi 0.000 0.000 0.000 1
# DOS at the Fermi energy ... 1.3 states/eV/f.u.
# Crystal system ... tetragonal
# Density ... 5.33 g/cm3
# Total magnetic moment ... 3.97 μB/cell

=====

*B*
# PBE-GGA Ba2CdBi, relaxed
data_Ba2CdBi
_chemical_formula_sum 'Ba4 Cd2 Bi2'
_cell_length_a 4.764
_cell_length_b 5.420
_cell_length_c 12.872
_cell_angle_alpha 90.00
_cell_angle_beta 100.66
_cell_angle_gamma 90.00
_symmetry_space_group_name_H-M 'P 1 21/m 1'
_symmetry_Int_Tables_number 11
loop_
_symmetry_equiv_pos_as_xyz
'x,y,z'
'-x,-y,-z'
'-x,y+1/2,-z'
'x,-y+1/2,z'
loop_
_atom_site_label
_atom_site_type_symbol
_atom_site_fract_x
_atom_site_fract_y
_atom_site_fract_z
_atom_site_occupancy
Ba1 Ba 0.052 0.250 0.106 1
Ba2 Ba 0.188 0.750 0.378 1
Cd1 Cd 0.336 0.750 0.672 1
Bi1 Bi 0.423 0.250 0.845 1
# DOS at the Fermi energy ... 2.2 states/eV/f.u.
# Crystal system ... monoclinic
# Density ... 6.06 g/cm3
# Total magnetic moment ... 0.00 μB/cell

=====

Which one is most stable, and which one is least stable? *B* is the most stable of them, while *A* is the least stable.

=====

*A*
# PBE-GGA Ba2CdBi, relaxed
data_Ba2CdBi
_chemical_formula_sum 'Ba4 Cd2 Bi2'
_cell_length_a 7.035
_cell_length_b 5.052
_cell_length_c 10.035
_cell_angle_alpha 90.00
_cell_angle_beta 109.05
_cell_angle_gamma 90.00
_symmetry_space_group_name_H-M 'P 1 21/m 1'
_symmetry_Int_Tables_number 11
loop_
_symmetry_equiv_pos_as_xyz
'x,y,z'
'-x,-y,-z'
'-x,y+1/2,-z'
'x,-y+1/2,z'
loop_
_atom_site_label
_atom_site_type_symbol
_atom_site_fract_x
_atom_site_fract_y
_atom_site_fract_z
_atom_site_occupancy
Ba1 Ba 0.205 0.250 0.434 1
Ba2 Ba 0.294 0.750 0.070 1
Cd1 Cd 0.371 0.750 0.712 1
Bi1 Bi 0.132 0.250 0.789 1
# DOS at the Fermi energy ... 3.4 states/eV/f.u.
# Crystal system ... monoclinic
# Density ... 5.87 g/cm3
# Total magnetic moment ... 0.92 μB/cell

=====

*B*
# PBE-GGA Ba2CdBi, relaxed
data_Ba2CdBi
_chemical_formula_sum 'Ba2 Cd1 Bi1'
_cell_length_a 5.818
_cell_length_b 5.818
_cell_length_c 4.683
_cell_angle_alpha 90.00
_cell_angle_beta 90.00
_cell_angle_gamma 90.00
_symmetry_space_group_name_H-M 'P 4/m m m'
_symmetry_Int_Tables_number 123
_symmetry_space_group_name_Hall '-P 4 2'
loop_
_atom_site_label
_atom_site_type_symbol
_atom_site_fract_x
_atom_site_fract_y
_atom_site_fract_z
_atom_site_occupancy
Ba1 Ba 0.000 0.500 0.000 1
Cd1 Cd 0.000 0.000 0.500 1
Bi1 Bi 0.500 0.500 0.500 1
# DOS at the Fermi energy ... 1.7 states/eV/f.u.
# Crystal system ... tetragonal
# Density ... 6.24 g/cm3
# Total magnetic moment ... 0.00 μB/cell

=====

Which one is most stable, and which one is least stable? *B* is the most stable of them, while *A* is the least stable.

=====

*A*
# PBE-GGA BaCd3Bi3, relaxed
data_BaCd3Bi3
_chemical_formula_sum 'Ba8 Cd24 Bi24'
_cell_length_a 14.333
_cell_length_b 14.333
_cell_length_c 14.333
_cell_angle_alpha 90.00
_cell_angle_beta 90.00
_cell_angle_gamma 90.00
_symmetry_space_group_name_H-M 'F m -3 m'
_symmetry_Int_Tables_number 225
_symmetry_space_group_name_Hall '-F 4 2 3'
loop_
_atom_site_label
_atom_site_type_symbol
_atom_site_fract_x
_atom_site_fract_y
_atom_site_fract_z
_atom_site_occupancy
Ba1 Ba 0.250 0.250 0.250 1
Cd1 Cd 0.000 0.000 0.144 1
Bi1 Bi 0.000 0.000 0.338 1
# DOS at the Fermi energy ... 6.6 states/eV/f.u.
# Crystal system ... cubic
# Density ... 4.97 g/cm3
# Total magnetic moment ... 0.00 μB/cell

=====

*B*
# PBE-GGA BaCd3Bi3, relaxed
data_BaCd3Bi3
_chemical_formula_sum 'Ba6 Cd18 Bi18'
_cell_length_a 8.3205
_cell_length_b 8.3205
_cell_length_c 24.9067
_cell_angle_alpha 90.00
_cell_angle_beta 90.00
_cell_angle_gamma 120.00
_symmetry_space_group_name_H-M 'R -3'
_symmetry_Int_Tables_number 148
_symmetry_space_group_name_Hall '-R 3'
loop_
_atom_site_label
_atom_site_type_symbol
_atom_site_fract_x
_atom_site_fract_y
_atom_site_fract_z
_atom_site_occupancy
Ba1 Ba 0.0000 0.0000 0.1674 1
Cd1 Cd 0.0059 0.3707 0.3719 1
Bi1 Bi 0.0025 0.2999 0.5823 1
# DOS at the Fermi energy ... 3.3 states/eV/f.u.
# Crystal system ... trigonal
# Density ... 7.35 g/cm3
# Total magnetic moment ... 0.00 μB/cell

=====

*C*
# PBE-GGA BaCd3Bi3, relaxed
data_BaCd3Bi3
_chemical_formula_sum 'Ba2 Cd6 Bi6'
_cell_length_a 8.219
_cell_length_b 8.219
_cell_length_c 8.219
_cell_angle_alpha 90.00
_cell_angle_beta 90.00
_cell_angle_gamma 90.00
_symmetry_space_group_name_H-M 'P m -3 n'
_symmetry_Int_Tables_number 223
_symmetry_space_group_name_Hall '-P 4n 2 3'
loop_
_atom_site_label
_atom_site_type_symbol
_atom_site_fract_x
_atom_site_fract_y
_atom_site_fract_z
_atom_site_occupancy
Ba1 Ba 0.000 0.000 0.000 1
Cd1 Cd 0.000 0.250 0.500 1
Bi1 Bi 0.000 0.500 0.250 1
# DOS at the Fermi energy ... 3.1 states/eV/f.u.
# Crystal system ... cubic
# Density ... 6.59 g/cm3
# Total magnetic moment ... 0.00 μB/cell

=====

Which one is most stable, and which one is least stable? *B* is the most stable of them, while *A* is the least stable.

=====

*A*
# PBE-GGA Ba3CdBi, relaxed
data_Ba3CdBi
_chemical_formula_sum 'Ba3 Cd1 Bi1'
_cell_length_a 6.768
_cell_length_b 6.768
_cell_length_c 6.768
_cell_angle_alpha 90.00
_cell_angle_beta 90.00
_cell_angle_gamma 90.00
_symmetry_space_group_name_H-M 'P m -3 m'
_symmetry_Int_Tables_number 221
_symmetry_space_group_name_Hall '-P 4 2 3'
loop_
_atom_site_label
_atom_site_type_symbol
_atom_site_fract_x
_atom_site_fract_y
_atom_site_fract_z
_atom_site_occupancy
Ba1 Ba 0.000 0.000 0.500 1
Cd1 Cd 0.500 0.500 0.500 1
Bi1 Bi 0.000 0.000 0.000 1
# DOS at the Fermi energy ... 6.6 states/eV/f.u.
# Crystal system ... cubic
# Density ... 3.93 g/cm3
# Total magnetic moment ... 0.00 μB/cell

=====

*B*
# PBE-GGA Ba3CdBi, relaxed
data_Ba3CdBi
_chemical_formula_sum 'Ba6 Cd2 Bi2'
_cell_length_a 5.302
_cell_length_b 8.998
_cell_length_c 10.757
_cell_angle_alpha 84.06
_cell_angle_beta 75.81
_cell_angle_gamma 89.92
_symmetry_space_group_name_H-M 'P -1'
_symmetry_Int_Tables_number 2
loop_
_symmetry_equiv_pos_as_xyz
'x,y,z'
'-x,-y,-z'
loop_
_atom_site_label
_atom_site_type_symbol
_atom_site_fract_x
_atom_site_fract_y
_atom_site_fract_z
_atom_site_occupancy
Ba1 Ba 0.033 0.276 0.433 1
Ba2 Ba 0.192 0.617 0.117 1
Ba3 Ba 0.348 0.020 0.803 1
Cd1 Cd 0.435 0.407 0.629 1
Bi1 Bi 0.205 0.220 0.089 1
# DOS at the Fermi energy ... 4.6 states/eV/f.u.
# Crystal system ... triclinic
# Density ... 4.92 g/cm3
# Total magnetic moment ... 0.00 μB/cell

=====

Which one is most stable, and which one is least stable? *B* is the most stable of them, while *A* is the least stable.